Ti4MoH10 | GGA-PBE | optimized geometry

Unit cell a=4.393 b=5.389 c=5.389 alpha=80.44 beta=65.95 gamma=65.95
Fractional positions:
1 H 0.750 0.500 0.500
2 H 0.449 0.899 0.702
3 H 0.050 0.101 0.298
4 H 0.849 0.702 0.101
5 H 0.950 0.899 0.702
6 H 0.250 0.500 0.500
7 H 0.551 0.101 0.298
8 H 0.151 0.298 0.899
9 H 0.348 0.702 0.101
10 H 0.652 0.298 0.899
11 Ti 0.398 0.804 0.401
12 Ti 0.202 0.401 0.196
13 Ti 0.602 0.196 0.599
14 Ti 0.798 0.599 0.804
15 Mo 0.000 0.000 0.000

calculated volume = 7.09 Å³ per atom
density of states at the Fermi level = 5.53 states/eV per cell
raw total energy = -5.471 eV per atom

---

Ti2Mo2H | GGA-PBE | optimized geometry

Unit cell a=3.372 b=3.372 c=7.213 alpha=76.48 beta=76.48 gamma=90.00
Fractional positions:
1 H 0.000 0.000 0.000
2 Mo 0.584 0.584 0.832
3 Mo 0.416 0.416 0.168
4 Ti 0.250 0.750 0.500
5 Ti 0.750 0.250 0.500

calculated volume = 15.48 Å³ per atom
relative energy among the computed polymorphs = 4.24 eV per formula unit
density of states at the Fermi level = 7.09 states/eV per cell

---

density of states at the Fermi level of number 2 (Ti2Mo2H)? 7.09 states/eV per cell